Record 1
Below is a relaxed structure of CaHgW2, with properties calculated at the PBEsol level.

Crystal system ... cubic
Energy of formation from the pure elements ... 0.75 eV/atom
ρ ... 13.79 g/cm³
Fermi-level density of states ... 0.85 states/eV per atom
Symmetry ... F-43m
VASP energy ... -6.831 eV/atom

```
CaHgW2
1.0
-0.046 -4.069 -2.345
3.288 -0.883 -3.235
3.307 -3.228 0.834
W Ca Hg
2 1 1
direct
0.000 0.000 0.000 W
0.750 0.750 0.750 W
0.500 0.500 0.500 Ca
0.250 0.250 0.250 Hg
```


Record 2
Below is a relaxed structure of Hg2Se, with properties calculated at the PBEsol level.

Energy above the most stable polymorph in this dataset ... 0.00 eV/f.u.
Crystal system ... trigonal
ρ ... 11.25 g/cm³
Fermi-level density of states ... 0.33 states/eV per atom
Symmetry ... P-3m1
Formation energy (no corrections) ... -6 kJ per mole of atoms
VASP energy ... -1.723 eV/atom

```
Hg2Se
1.0
4.997 0.000 0.044
0.000 4.045 0.000
-0.032 -2.022 3.507
Se Hg
1 2
direct
0.500 0.000 0.000 Se
0.178 0.667 0.333 Hg
0.822 0.333 0.667 Hg
```


Record 3
Below is a relaxed structure of YAs2Ru, with properties calculated at the PBEsol level.

Crystal system ... tetragonal
Energy of formation from the pure elements ... -0.30 eV/atom
ρ ... 6.79 g/cm³
Fermi-level density of states ... 0.76 states/eV per atom
Symmetry ... I-42d
VASP energy ... -7.101 eV/atom

```
YAs2Ru
1.0
-0.995 4.176 -1.252
-2.051 0.685 3.914
8.669 0.255 1.944
Y As Ru
2 4 2
direct
0.750 0.250 0.500 Y
0.500 0.500 0.000 Y
0.625 0.734 0.750 As
0.125 0.016 0.750 As
0.984 0.375 0.250 As
0.266 0.875 0.250 As
0.000 0.000 0.000 Ru
0.250 0.750 0.500 Ru
```